No. 1
Entry from Alexandria: BaCuW after structural relaxation (GGA-PBE).

Geometry as POSCAR:
```
BaCuW
1.0
3.109 0.000 0.000
-1.555 2.693 0.000
0.000 0.000 7.788
Ba Cu W
1 1 1
direct
0.000 0.000 0.000 Ba
0.667 0.333 0.370 Cu
0.333 0.667 0.612 W
```

Formation enthalpy at 0 K in meV per atom: 1247
Distance to the lowest polymorph of the same formula in eV per atom: 0.295

***

No. 2
Entry from Alexandria: Ca12Ir3O5 after structural relaxation (GGA-PBE).

Geometry as POSCAR:
```
Ca12Ir3O5
1.0
-7.628 7.628 7.628
7.628 -7.628 7.628
7.628 7.628 -7.628
Ca Ir O
48 12 20
direct
0.024 0.204 0.124 Ca
0.024 0.320 0.900 Ca
0.080 0.704 0.680 Ca
0.080 0.876 0.400 Ca
0.100 0.624 0.420 Ca
0.100 0.976 0.680 Ca
0.124 0.024 0.204 Ca
0.124 0.600 0.920 Ca
0.180 0.204 0.580 Ca
0.180 0.476 0.600 Ca
0.204 0.124 0.024 Ca
0.204 0.580 0.180 Ca
0.296 0.320 0.920 Ca
0.296 0.476 0.376 Ca
0.320 0.900 0.024 Ca
0.320 0.920 0.296 Ca
0.376 0.296 0.476 Ca
0.376 0.580 0.900 Ca
0.400 0.080 0.876 Ca
0.400 0.820 0.524 Ca
0.420 0.100 0.624 Ca
0.420 0.820 0.796 Ca
0.476 0.376 0.296 Ca
0.476 0.600 0.180 Ca
0.524 0.400 0.820 Ca
0.524 0.624 0.704 Ca
0.580 0.180 0.204 Ca
0.580 0.900 0.376 Ca
0.600 0.180 0.476 Ca
0.600 0.920 0.124 Ca
0.624 0.420 0.100 Ca
0.624 0.704 0.524 Ca
0.680 0.080 0.704 Ca
0.680 0.100 0.976 Ca
0.704 0.524 0.624 Ca
0.704 0.680 0.080 Ca
0.796 0.420 0.820 Ca
0.796 0.876 0.976 Ca
0.820 0.524 0.400 Ca
0.820 0.796 0.420 Ca
0.876 0.400 0.080 Ca
0.876 0.976 0.796 Ca
0.900 0.024 0.320 Ca
0.900 0.376 0.580 Ca
0.920 0.124 0.600 Ca
0.920 0.296 0.320 Ca
0.976 0.680 0.100 Ca
0.976 0.796 0.876 Ca
0.125 0.250 0.375 Ir
0.125 0.375 0.750 Ir
0.250 0.375 0.125 Ir
0.250 0.875 0.625 Ir
0.375 0.125 0.250 Ir
0.375 0.750 0.125 Ir
0.625 0.250 0.875 Ir
0.625 0.875 0.750 Ir
0.750 0.125 0.375 Ir
0.750 0.625 0.875 Ir
0.875 0.625 0.250 Ir
0.875 0.750 0.625 Ir
0.000 0.000 0.000 O
0.000 0.000 0.500 O
0.000 0.500 0.000 O
0.000 0.500 0.500 O
0.125 0.750 0.875 O
0.125 0.875 0.250 O
0.250 0.125 0.875 O
0.250 0.625 0.375 O
0.375 0.250 0.625 O
0.375 0.625 0.750 O
0.500 0.000 0.000 O
0.500 0.000 0.500 O
0.500 0.500 0.000 O
0.500 0.500 0.500 O
0.625 0.375 0.250 O
0.625 0.750 0.375 O
0.750 0.375 0.625 O
0.750 0.875 0.125 O
0.875 0.125 0.750 O
0.875 0.250 0.125 O
```

E_form (uncorrected) in eV/f.u.: -29.24

***

No. 3
Entry from Alexandria: La2AlZnNi6 after structural relaxation (GGA-PBE).

Geometry as POSCAR:
```
La2AlZnNi6
1.0
5.351 0.000 0.000
2.675 4.635 0.000
2.675 1.545 7.231
La Al Zn Ni
2 1 1 6
direct
0.242 0.243 0.273 La
0.758 0.757 0.727 La
0.500 0.500 0.500 Al
0.000 0.000 0.000 Zn
0.246 0.750 0.254 Ni
0.250 0.249 0.745 Ni
0.250 0.752 0.747 Ni
0.750 0.248 0.253 Ni
0.750 0.751 0.255 Ni
0.754 0.250 0.746 Ni
```

Formation enthalpy at 0 K in meV per atom: -166